# 1
Material: LaTa2Cl2
Method: DFT, GGA-PBE
State: optimized geometry

The calculation puts the total energy at -6.415 eV/atom. Its space group is No. 139. As for the volume: 103.7 Å³/cell. The theoretical density is 9.2 g cm⁻³. Its offset from the most stable computed form is 0 meV/atom. The uncorrected formation energy is 0.05 eV per atom.

Unit cell a=3.996 b=3.996 c=7.080 alpha=73.61 beta=73.61 gamma=90.00
Fractional positions:
Ta  0.750  0.250  0.500
Cl  0.611  0.611  0.777
Ta  0.250  0.750  0.500
Cl  0.389  0.389  0.223
La  0.000  0.000  0.000

***

# 2
Material: La2TaCl
Method: DFT, GGA-PBE
State: optimized geometry

The calculation puts the total energy at -6.204 eV/atom. Its space group is No. 12. As for the volume: 106.4 Å³/cell. The theoretical density is 7.7 g cm⁻³. Its offset from the most stable computed form is 84 meV/atom. The uncorrected formation energy is -0.32 eV per atom.

Unit cell a=3.651 b=3.651 c=9.780 alpha=84.00 beta=84.00 gamma=55.28
Each line ends with the local moment (μB).
Fractional positions:
La  0.972  0.972  0.001  0.08
Ta  0.750  0.750  0.750  0.47
Cl  0.250  0.250  0.250  0.01
La  0.528  0.528  0.499  0.08

***

# 3
Material: La2TaCl
Method: DFT, GGA-PBE
State: optimized geometry

The calculation puts the total energy at -6.264 eV/atom. Its space group is No. 25. As for the volume: 105.1 Å³/cell. The theoretical density is 7.8 g cm⁻³. Its offset from the most stable computed form is 24 meV/atom. The uncorrected formation energy is -0.38 eV per atom.

Unit cell a=5.998 b=3.387 c=5.173 alpha=90.00 beta=90.00 gamma=90.00
Fractional positions:
Ta  0.000  0.423  0.375
La  0.000  0.884  0.875
La  0.500  0.338  0.375
Cl  0.500  0.855  0.875

***

# 4
Material: La2TaCl
Method: DFT, GGA-PBE
State: optimized geometry

The calculation puts the total energy at -5.659 eV/atom. Its space group is No. 122. As for the volume: 284.8 Å³/cell. The theoretical density is 5.8 g cm⁻³. Its offset from the most stable computed form is 628 meV/atom. The uncorrected formation energy is 0.23 eV per atom.

Unit cell a=6.437 b=6.437 c=8.243 alpha=67.02 beta=67.02 gamma=90.00
Fractional positions:
La  0.875  0.897  0.750
Ta  0.000  0.000  0.000
Cl  0.500  0.500  0.000
Ta  0.750  0.250  0.500
La  0.375  0.353  0.750
Cl  0.250  0.750  0.500
La  0.103  0.625  0.250
La  0.647  0.125  0.250